A relaxed HfInRh3 crystal, computed with PBE-GGA.

It has space group Pm-3m (No. 221), with a = 4.774 Å, b = 4.774 Å, c = 4.774 Å, α = 90.00°, β = 90.00° and γ = 90.00°. Symmetry generates all atoms from Hf at (0.000, 0.000, 0.000), In at (0.500, 0.500, 0.500) and Rh at (0.000, 0.000, 0.500).

Its relative energy among the computed polymorphs is 0 meV/atom. The value obtained for the raw total energy is -32.21 eV/cell. As for the formation energy: 2.54 eV per formula unit. The calculation puts the volume at 21.8 A^3/atom.